(1)
# ThPaPS (GGA-PBE, relaxed)
# **Offset from the most stable computed form**: 0 meV/atom
# **Formation energy (no corrections)**: -138 kJ/mol of atoms
data_ThPaPS
_symmetry_space_group_name_H-M 'P 1'
_symmetry_Int_Tables_number 1
_cell_length_a 3.852
_cell_length_b 3.853
_cell_length_c 7.566
_cell_angle_alpha 90.00
_cell_angle_beta 104.72
_cell_angle_gamma 120.01
loop_
_symmetry_equiv_pos_as_xyz
'x,y,z'
loop_
_atom_site_label
_atom_site_type_symbol
_atom_site_fract_x
_atom_site_fract_y
_atom_site_fract_z
S1 S 0.478 0.137 0.630
Th1 Th 0.960 0.378 0.354
P1 P 0.129 0.962 0.106
Pa1 Pa 0.311 0.554 0.880



(2)
# TmPaPS (GGA-PBE, relaxed)
# **Formation energy (no corrections)**: -144 kJ/mol of atoms
data_TmPaPS
_symmetry_space_group_name_H-M 'P 1'
_symmetry_Int_Tables_number 1
_cell_length_a 3.786
_cell_length_b 3.787
_cell_length_c 7.305
_cell_angle_alpha 90.00
_cell_angle_beta 105.03
_cell_angle_gamma 120.00
loop_
_symmetry_equiv_pos_as_xyz
'x,y,z'
loop_
_atom_site_label
_atom_site_type_symbol
_atom_site_fract_x
_atom_site_fract_y
_atom_site_fract_z
S1 S 0.972 0.384 0.371
Tm1 Tm 0.481 0.138 0.635
P1 P 0.300 0.548 0.863
Pa1 Pa 0.125 0.961 0.101



(3)
# UPaPS (GGA-PBE, relaxed)
# **Offset from the most stable computed form**: 0 meV/atom
# **Formation energy (no corrections)**: -129 kJ/mol of atoms
data_UPaPS
_symmetry_space_group_name_H-M 'P 1'
_symmetry_Int_Tables_number 1
_cell_length_a 3.924
_cell_length_b 3.926
_cell_length_c 5.546
_cell_angle_alpha 90.10
_cell_angle_beta 90.00
_cell_angle_gamma 90.00
loop_
_symmetry_equiv_pos_as_xyz
'x,y,z'
loop_
_atom_site_label
_atom_site_type_symbol
_atom_site_fract_x
_atom_site_fract_y
_atom_site_fract_z
P1 P 0.000 0.892 0.592
Pa1 Pa 0.500 0.392 0.592
S1 S 0.500 0.392 0.092
U1 U 0.000 0.892 0.092



(4)
# UPaPS (GGA-PBE, relaxed)
# **Offset from the most stable computed form**: 381 meV/atom
# **Formation energy (no corrections)**: -92 kJ/mol of atoms
data_UPaPS
_symmetry_space_group_name_H-M 'P 1'
_symmetry_Int_Tables_number 1
_cell_length_a 4.823
_cell_length_b 4.823
_cell_length_c 4.823
_cell_angle_alpha 60.00
_cell_angle_beta 60.00
_cell_angle_gamma 60.00
loop_
_symmetry_equiv_pos_as_xyz
'x,y,z'
loop_
_atom_site_label
_atom_site_type_symbol
_atom_site_fract_x
_atom_site_fract_y
_atom_site_fract_z
Pa1 Pa 0.500 0.500 0.500
S1 S 0.250 0.250 0.250
P1 P 0.750 0.750 0.750
U1 U 0.000 0.000 0.000



(5)
# UPaPS2 (GGA-PBE, relaxed)
# **Formation energy (no corrections)**: -87 kJ/mol of atoms
data_UPaPS2
_symmetry_space_group_name_H-M 'P 1'
_symmetry_Int_Tables_number 1
_cell_length_a 4.069
_cell_length_b 4.069
_cell_length_c 6.862
_cell_angle_alpha 107.25
_cell_angle_beta 107.25
_cell_angle_gamma 90.00
loop_
_symmetry_equiv_pos_as_xyz
'x,y,z'
loop_
_atom_site_label
_atom_site_type_symbol
_atom_site_fract_x
_atom_site_fract_y
_atom_site_fract_z
S1 S 0.748 0.248 0.495
S2 S 0.248 0.748 0.495
Pa1 Pa 0.898 0.898 0.796
P1 P 0.501 0.501 0.002
U1 U 0.105 0.105 0.210



(6)
# YPaPS (GGA-PBE, relaxed)
# **Formation energy (no corrections)**: -146 kJ/mol of atoms
data_YPaPS
_symmetry_space_group_name_H-M 'P 1'
_symmetry_Int_Tables_number 1
_cell_length_a 3.840
_cell_length_b 3.840
_cell_length_c 7.328
_cell_angle_alpha 90.00
_cell_angle_beta 105.19
_cell_angle_gamma 120.00
loop_
_symmetry_equiv_pos_as_xyz
'x,y,z'
loop_
_atom_site_label
_atom_site_type_symbol
_atom_site_fract_x
_atom_site_fract_y
_atom_site_fract_z
Y1 Y 0.482 0.139 0.636
S1 S 0.968 0.382 0.365
P1 P 0.303 0.550 0.868
Pa1 Pa 0.125 0.961 0.101